The following is a GGA-PBE calculation of an optimized crystal structure of HgPtPb3, from Alexandria via LeMat-Bulk.

a = 8.506 Å, b = 7.090 Å, c = 10.774 Å
α = 90.00°, β = 123.33°, γ = 90.00°
Positions (direct):
Hg 0.120 0.167 0.112
Hg 0.120 0.333 0.612
Hg 0.880 0.667 0.388
Hg 0.880 0.833 0.888
Pt 0.465 0.182 0.418
Pt 0.465 0.318 0.918
Pt 0.535 0.682 0.082
Pt 0.535 0.818 0.582
Pb 0.168 0.009 0.437
Pb 0.168 0.491 0.937
Pb 0.253 0.508 0.395
Pb 0.253 0.992 0.895
Pb 0.406 0.682 0.759
Pb 0.406 0.818 0.259
Pb 0.594 0.182 0.741
Pb 0.594 0.318 0.241
Pb 0.747 0.008 0.105
Pb 0.747 0.492 0.605
Pb 0.832 0.509 0.063
Pb 0.832 0.991 0.563

## Properties
spin magnetization = 0.0 μB per formula unit
calculated volume = 542.9 Å³/cell
symmetry = P2_1/c
ΔH_f (0 K) = -0.0703 eV/atom
excess energy over the best structure of this formula in the dataset = 0 meV/atom